No. 1
CaTeOs2: relaxed, GGA-PBEsol.

Cell lengths 3.0992, 3.0992, 26.6385 Å; angles 90.00, 90.00, 120.00 degrees
Closest atoms and distances in Å follow each position.
Space group R-3m (No. 166, hexagonal axes)
Asymmetric unit:
Ca: 0.0000 0.0000 0.0000 [3 per cell]  6 Os 3.01, 6 Ca 3.10
Te: 0.0000 0.0000 0.5000 [3 per cell]  6 Os 2.70
Os: 0.0000 0.0000 0.2425 [6 per cell]  3 Te 2.70, 3 Ca 3.01

Values from the calculation:
The calculation puts the uncorrected formation energy at 84.8 kJ per mole of atoms. The total magnetic moment is 0.0 Bohr magnetons per cell. Its density of states at the Fermi level is 5.71 states/eV/f.u.

No. 2
CaTeOs2: relaxed, GGA-PBEsol.

Cell lengths 3.2318, 3.2318, 6.9374 Å; angles 90.00, 90.00, 90.00 degrees
Closest atoms and distances in Å follow each position.
Space group P4/mmm (No. 123)
Asymmetric unit:
Ca: 0.0000 0.0000 0.0000 [1 per cell]  8 Os 3.01, 4 Ca 3.23
Te: 0.0000 0.0000 0.5000 [1 per cell]  8 Os 2.74
Os: 0.5000 0.5000 0.2826 [2 per cell]  4 Te 2.74, 4 Ca 3.01, 1 Os 3.02

Values from the calculation:
The calculation puts the uncorrected formation energy at 63.6 kJ per mole of atoms. The total magnetic moment is 0.0 Bohr magnetons per cell. Its density of states at the Fermi level is 1.37 states/eV/f.u.